[1]
{
  "formula": "Nd2ErTmP4",
  "functional": "PBE",
  "state": "optimized geometry",
  "delta_e_f_ev_per_atom": -1.562,
  "magmom_total_mub_per_cell": 0.000,
  "energy_ev_per_atom": -6.59,
  "volume_a3_per_atom": 23.73,
  "cell": [[4.0670, 0.0000, 0.0000], [0.0000, 7.0398, 0.1229], [0.0000, -2.4612, 6.5886]],
  "species": ["P", "Nd", "P", "Nd", "Tm", "P", "Er", "P"],
  "fractional_positions": [[0.5000, 0.7536, 0.7625], [0.0000, 0.5000, 0.5000], [0.0000, 0.7451, 0.2371], [0.5000, 0.0000, 0.5000], [0.5000, 0.5000, 0.0000], [0.0000, 0.2549, 0.7629], [0.0000, 0.0000, 0.0000], [0.5000, 0.2464, 0.2375]]
}



[2]
{
  "formula": "Tm2AlCo",
  "functional": "PBE",
  "state": "optimized geometry",
  "delta_e_f_ev_per_atom": -0.330,
  "magmom_total_mub_per_cell": 0.554,
  "energy_ev_per_atom": -5.28,
  "volume_a3_per_atom": 20.30,
  "cell": [[-2.3395, -1.2994, -2.0428], [1.7541, -2.8677, -0.1848], [-3.5509, -2.5380, 5.6809]],
  "species": ["Tm", "Co", "Tm", "Al"],
  "fractional_positions": [[0.0000, 0.0000, 0.2241], [0.5000, 0.5000, 0.0000], [0.0000, 0.0000, 0.7759], [0.5000, 0.5000, 0.5000]]
}